A plane-wave DFT calculation with PBE was carried out for a geometry-optimized NaTbTh2Te4 structure.

abc: 4.242 7.404 8.218
angles: 106.93 90.00 90.00
Fractional positions:
Te 0.000 0.252 0.763
Te 0.000 0.748 0.237
Te 0.500 0.247 0.240
Te 0.500 0.753 0.760
Th 0.500 0.000 0.500
Th 0.000 0.500 0.500
Tb 0.500 0.500 0.000
Na 0.000 0.000 0.000

Computed properties:
For the energy relative to the elements, uncorrected, the calculation gives -1.130 eV/atom. For the total DFT energy (no corrections), the calculation gives -5.299 eV/atom.